(1)
This record from Alexandria via LeMat-Bulk describes a relaxed structure of CsInH2. The functional is PBE-GGA.

Values from the calculation:
polymorph energy (0 for the lowest one): 378 meV/atom

Cell: 5.0639 5.0639 5.0639 Å, 60.00 60.00 60.00°
Closest atoms and distances in Å follow each position.
Positions (direct):
Cs (0.5000, 0.5000, 0.5000)  8 H 3.10
H (0.2500, 0.2500, 0.2500)  4 In 3.10, 4 Cs 3.10
H (0.7500, 0.7500, 0.7500)  4 In 3.10, 4 Cs 3.10
In (0.0000, 0.0000, 0.0000)  8 H 3.10


(2)
This record from Alexandria via LeMat-Bulk describes a relaxed structure of Tb8Nd3Tl. The functional is PBE-GGA.

Values from the calculation:
electronic total energy: -3.98 eV per atom

Cell: 8.3606 8.3606 8.3606 Å, 94.61 117.37 117.37°
Closest atoms and distances in Å follow each position.
Positions (direct):
Tb (0.5057, 0.2686, 0.2686)  1 Nd 3.04, 1 Tl 3.11, 2 Tb 3.12-3.32
Tb (0.4943, 0.7629, 0.7629)  1 Nd 3.04, 1 Tl 3.11, 2 Tb 3.12-3.32
Tb (0.0000, 0.7314, 0.2371)  1 Nd 3.04, 1 Tl 3.11, 2 Tb 3.12-3.32
Tb (0.0000, 0.2371, 0.7314)  1 Nd 3.04, 1 Tl 3.11, 2 Tb 3.12-3.32
Tb (0.2530, 0.3805, 0.3805)  3 Tb 3.11-3.32, 3 Nd 3.19-3.43, 1 Tl 3.27
Tb (0.7470, 0.1275, 0.1275)  3 Tb 3.11-3.32, 3 Nd 3.19-3.43, 1 Tl 3.27
Tb (0.0000, 0.6195, 0.8725)  3 Tb 3.11-3.32, 3 Nd 3.19-3.43, 1 Tl 3.27
Tb (0.0000, 0.8725, 0.6195)  3 Tb 3.11-3.32, 3 Nd 3.19-3.43, 1 Tl 3.27
Nd (0.5000, 0.7500, 0.2500)  4 Tb 3.43
Nd (0.5000, 0.2500, 0.7500)  4 Tb 3.43
Nd (0.0000, 0.5000, 0.5000)  8 Tb 3.04-3.19
Tl (0.0000, 0.0000, 0.0000)  8 Tb 3.11-3.27


(3)
This record from Alexandria via LeMat-Bulk describes a relaxed structure of LiMn2Ni. The functional is PBE-GGA.

Values from the calculation:
electronic total energy: -6.28 eV per atom

Cell: 4.6873 4.6873 4.6873 Å, 144.76 133.86 59.36°
Closest atoms and distances in Å follow each position.
Positions (direct):
Li (0.2500, 0.7500, 0.5000)  4 Ni 2.32, 4 Mn 2.48
Mn (0.9998, 0.9998, 0.0000)  4 Mn 2.32, 2 Ni 2.48, 2 Li 2.48
Mn (0.5002, 0.5002, 0.0000)  4 Mn 2.32, 2 Ni 2.48, 2 Li 2.48
Ni (0.7500, 0.2500, 0.5000)  4 Li 2.32, 4 Mn 2.48


(4)
This record from Alexandria via LeMat-Bulk describes a relaxed structure of CaCuAu3. The functional is PBE-GGA.

Values from the calculation:
polymorph energy (0 for the lowest one): 192 meV/atom

Cell: 4.8637 4.8637 4.8637 Å, 90.00 90.00 90.00°
Closest atoms and distances in Å follow each position.
Positions (direct):
Ca (0.5000, 0.5000, 0.5000)  12 Au 3.44
Au (0.0000, 0.5000, 0.0000)  2 Cu 2.43
Au (0.0000, 0.0000, 0.5000)  2 Cu 2.43
Au (0.5000, 0.0000, 0.0000)  2 Cu 2.43
Cu (0.0000, 0.0000, 0.0000)  6 Au 2.43